(1)
A plane-wave DFT calculation with PBE was carried out for an optimized crystal structure of GdLuCoHg.

abc: 7.0749 7.0749 7.0749
angles: 90.00 90.00 90.00
Space group F-43m (No. 216)
Asymmetric unit:
1 Gd 0.0000 0.0000 0.0000 x4
2 Lu 0.0000 0.0000 0.5000 x4
3 Co 0.2500 0.2500 0.2500 x4
4 Hg 0.2500 0.2500 0.7500 x4

DFT formation energy = -88 kJ/mol of formula units
Total energy = -6.73 eV per atom
Total moment = 6.46 μB/f.u.

(2)
A plane-wave DFT calculation with PBE was carried out for an optimized crystal structure of TbSmLuRu.

abc: 7.3200 7.3200 7.3200
angles: 90.00 90.00 90.00
Space group F-43m (No. 216)
Asymmetric unit:
1 Tb 0.0000 0.0000 0.0000 x4
2 Sm 0.0000 0.0000 0.5000 x4
3 Lu 0.2500 0.2500 0.7500 x4
4 Ru 0.2500 0.2500 0.2500 x4

DFT formation energy = 37 kJ/mol of formula units
Total energy = -5.69 eV per atom
Total moment = 0.01 μB/f.u.

(3)
A plane-wave DFT calculation with PBE was carried out for an optimized crystal structure of MgIr4W.

abc: 7.2900 7.2900 7.2900
angles: 90.00 90.00 90.00
Space group F-43m (No. 216)
Asymmetric unit:
1 Mg 0.0000 0.0000 0.0000 x4
2 Ir 0.1255 0.1255 0.3745 x16
3 W 0.2500 0.2500 0.7500 x4

DFT formation energy = 80 kJ/mol of formula units
Total energy = -8.19 eV per atom
Total moment = 0.00 μB/f.u.

(4)
A plane-wave DFT calculation with PBE was carried out for an optimized crystal structure of Pa4Te5O.

abc: 18.0003 3.9838 8.2224
angles: 90.00 103.32 90.00
Space group C2/m (No. 12)
Asymmetric unit:
1 Pa 0.0056 0.0000 0.2950 x4
2 Pa 0.1401 0.5000 0.5653 x4
3 Te 0.0000 0.5000 0.0000 x2
4 Te 0.1660 0.0000 0.8507 x4
5 Te 0.1787 0.0000 0.3109 x4
6 O 0.0000 0.5000 0.5000 x2

Total energy = -6.89 eV per atom
Total moment = 3.26 μB/f.u.

(5)
A plane-wave DFT calculation with PBE was carried out for an optimized crystal structure of KCdCl2.

abc: 3.9842 4.1701 13.9491
angles: 90.00 90.00 90.00
Space group Imm2 (No. 44)
Asymmetric unit:
1 K 0.0000 0.0000 0.0000 x2
2 Cd 0.0000 0.5000 0.7414 x2
3 Cl 0.0000 0.0000 0.4110 x2
4 Cl 0.0000 0.5000 0.1858 x2

Total energy = -2.54 eV per atom
Total moment = 0.00 μB/f.u.

(6)
A plane-wave DFT calculation with PBE was carried out for an optimized crystal structure of SmAl6Pt4.

abc: 7.3159 7.3159 4.0412
angles: 90.00 90.00 120.00
Space group P-6m2 (No. 187)
Asymmetric unit:
1 Sm 0.0000 0.0000 0.0000 x1
2 Al 0.1994 0.3988 0.5000 x3
3 Al 0.5333 0.0666 0.0000 x3
4 Pt 0.3333 0.6667 0.0000 x1
5 Pt 0.4002 0.2001 0.5000 x3

DFT formation energy = -1105 kJ/mol of formula units
Total energy = -5.71 eV per atom
Total moment = 0.00 μB/f.u.

(7)
A plane-wave DFT calculation with PBE was carried out for an optimized crystal structure of SmTm3Tl3Te8.

abc: 15.1817 8.7509 9.6033
angles: 90.00 121.86 90.00
Space group C2/m (No. 12)
Asymmetric unit:
1 Sm 0.0000 0.0000 0.0000 x2
2 Tm 0.0000 0.5000 0.0000 x2
3 Tm 0.2500 0.2500 0.0000 x4
4 Tl 0.0000 0.0000 0.5000 x2
5 Tl 0.2500 0.2500 0.5000 x4
6 Te 0.0137 0.2577 0.7837 x8
7 Te 0.2375 0.5000 0.2123 x4
8 Te 0.2439 0.0000 0.2164 x4

Total energy = -4.39 eV per atom
Total moment = 0.00 μB/f.u.

(8)
A plane-wave DFT calculation with PBE was carried out for an optimized crystal structure of Ce5ThSe6.

abc: 7.2688 12.5939 7.2659
angles: 90.00 109.48 90.00
Space group C2/m (No. 12)
Asymmetric unit:
1 Ce 0.0000 0.0000 0.0000 x2
2 Ce 0.0000 0.1668 0.5000 x4
3 Ce 0.0000 0.3337 0.0000 x4
4 Th 0.0000 0.5000 0.5000 x2
5 Se 0.2492 0.0000 0.7504 x4
6 Se 0.2492 0.1671 0.2492 x8

Total energy = -6.61 eV per atom
Total moment = 3.89 μB/f.u.

(9)
A plane-wave DFT calculation with PBE was carried out for an optimized crystal structure of LaBiPb2.

abc: 9.0605 9.0605 6.6574
angles: 90.00 90.00 90.00
Space group I-42d (No. 122)
Asymmetric unit:
1 La 0.0000 0.0000 0.0000 x4
2 Bi 0.0000 0.0000 0.5000 x4
3 Pb 0.2357 0.2500 0.6250 x8

DFT formation energy = -92 kJ/mol of formula units
Total energy = -4.29 eV per atom
Total moment = 0.00 μB/f.u.

(10)
A plane-wave DFT calculation with PBE was carried out for an optimized crystal structure of CaZn2Ga4Ni.

abc: 4.2915 4.2915 26.9551
angles: 90.00 90.00 120.00
Space group R-3m (No. 166, hexagonal axes)
Asymmetric unit:
1 Ca 0.0000 0.0000 0.0000 x3
2 Zn 0.0000 0.0000 0.2519 x6
3 Ga 0.0000 0.0000 0.1356 x6
4 Ga 0.0000 0.0000 0.4060 x6
5 Ni 0.0000 0.0000 0.5000 x3

DFT formation energy = -163 kJ/mol of formula units
Total energy = -3.02 eV per atom
Total moment = 0.00 μB/f.u.

(11)
A plane-wave DFT calculation with PBE was carried out for an optimized crystal structure of Mg14AlCd.

abc: 10.1991 6.3903 10.9279
angles: 90.00 90.00 90.00
Space group Amm2 (No. 38)
Asymmetric unit:
1 Mg 0.0000 0.0000 0.0000 x2
2 Mg 0.0000 0.0000 0.4996 x2
3 Mg 0.0000 0.2492 0.2486 x4
4 Mg 0.2508 0.0000 0.8315 x4
5 Mg 0.2536 0.0000 0.3327 x4
6 Mg 0.2569 0.2478 0.5806 x8
7 Mg 0.5000 0.2504 0.2508 x4
8 Al 0.5000 0.0000 0.4965 x2
9 Cd 0.5000 0.0000 0.9973 x2

DFT formation energy = -2 kJ/mol of formula units
Total energy = -1.69 eV per atom
Total moment = 0.00 μB/f.u.

(12)
A plane-wave DFT calculation with PBE was carried out for an optimized crystal structure of Tb2CeGaN.

abc: 4.8154 4.8154 4.7840
angles: 90.00 90.00 90.00
Space group P4/mmm (No. 123)
Asymmetric unit:
1 Tb 0.0000 0.5000 0.0000 x2
2 Ce 0.0000 0.0000 0.5000 x1
3 Ga 0.5000 0.5000 0.5000 x1
4 N 0.0000 0.0000 0.0000 x1

Total energy = -6.18 eV per atom
Total moment = 0.61 μB/f.u.